Record 1
The following is a DFT calculation (PBE-GGA) of a geometry-optimized Tm4ZnSe structure.

Output
- Energy relative to the elements, uncorrected: -0.5605 eV/atom
- DOS(E_F): 10.41 states/eV/cell

abc: 5.981 8.381 6.413
angles: 90.00 90.00 110.54
Fractional coordinates of all 12 atoms:
Tm  0.014  0.291  0.000
Tm  0.566  0.357  0.750
Tm  0.600  0.932  0.750
Tm  0.986  0.709  0.000
Tm  0.986  0.709  0.500
Tm  0.014  0.291  0.500
Tm  0.434  0.643  0.250
Tm  0.400  0.068  0.250
Zn  0.305  0.586  0.750
Zn  0.695  0.414  0.250
Se  0.161  0.036  0.750
Se  0.839  0.964  0.250

---

Record 2
The following is a DFT calculation (PBE-GGA) of a geometry-optimized CuReTc2 structure.

Output
- Energy above the lowest structure with this stoichiometry: 22.5 meV per atom
- ΔE_f: 167 meV/atom
- DOS(E_F): 3.67 states/eV/cell

abc: 3.914 2.709 5.979
angles: 63.08 90.00 90.00
Fractional coordinates of all 4 atoms:
Tc  0.000  0.998  0.007
Tc  0.000  0.502  0.493
Cu  0.500  0.250  0.250
Re  0.500  0.750  0.750

---

Record 3
The following is a DFT calculation (PBE-GGA) of a geometry-optimized TaC5 structure.

Output
- Energy above the lowest structure with this stoichiometry: 782.3 meV per atom
- ΔE_f: 1730 meV/atom
- DOS(E_F): 2.20 states/eV/cell

abc: 3.088 3.088 5.485
angles: 90.00 90.00 90.00
Fractional coordinates of all 6 atoms:
C  0.500  0.500  0.619
C  0.500  0.500  0.381
C  0.000  0.000  0.763
C  0.000  0.000  0.500
C  0.000  0.000  0.237
Ta  0.500  0.500  0.000

---

Record 4
The following is a DFT calculation (PBE-GGA) of a geometry-optimized YNiRu structure.

Output
- ΔE_f: -25 meV/atom
- DOS(E_F): 5.43 states/eV/cell

abc: 5.325 5.325 5.325
angles: 143.69 143.70 52.29
Each line ends with the local moment (μB).
Fractional coordinates of all 3 atoms:
Y  0.668  0.668  0.000  -0.01
Ni  0.965  0.965  0.000  0.13
Ru  0.367  0.367  0.000  0.09

---

Record 5
The following is a DFT calculation (PBE-GGA) of a geometry-optimized TaInRe2 structure.

Output
- ΔE_f: 469 meV/atom
- DOS(E_F): 6.41 states/eV/cell

abc: 4.577 4.577 4.577
angles: 60.00 60.00 60.00
Fractional coordinates of all 4 atoms:
Re  0.250  0.250  0.250
Re  0.000  0.000  0.000
Ta  0.750  0.750  0.750
In  0.500  0.500  0.500

---

Record 6
The following is a DFT calculation (PBE-GGA) of a geometry-optimized USiGe2 structure.

Output
- Energy above the lowest structure with this stoichiometry: 0.0 meV per atom
- Energy relative to the elements, uncorrected: -0.3202 eV/atom
- DOS(E_F): 3.04 states/eV/cell

abc: 4.175 4.127 4.127
angles: 90.00 90.00 90.00
Fractional coordinates of all 4 atoms:
Ge  0.000  0.500  0.000
Ge  0.000  0.000  0.500
Si  0.500  0.500  0.500
U  0.500  0.000  0.000

---

Record 7
The following is a DFT calculation (PBE-GGA) of a geometry-optimized Ba4NaNd3S8 structure.

Output
- Energy relative to the elements, uncorrected: -1.9607 eV/atom
- DOS(E_F): 4.99 states/eV/cell

abc: 8.549 8.672 8.550
angles: 119.54 119.99 90.00
Fractional coordinates of all 16 atoms:
Nd  0.500  0.500  0.500
Nd  0.000  0.500  0.500
Nd  0.500  0.500  0.000
S  0.245  0.722  0.489
S  0.244  0.721  0.977
S  0.260  0.279  0.520
S  0.755  0.278  0.511
S  0.740  0.721  0.480
S  0.268  0.279  0.023
S  0.732  0.721  0.977
S  0.756  0.279  0.023
Na  0.000  0.500  0.000
Ba  0.500  0.000  0.500
Ba  0.000  0.000  0.500
Ba  0.000  0.000  0.000
Ba  0.500  0.000  0.000

---

Record 8
The following is a DFT calculation (PBE-GGA) of a geometry-optimized CsRbSi3 structure.

Output
- Energy above the lowest structure with this stoichiometry: 49.9 meV per atom
- Energy relative to the elements, uncorrected: 1.7345 eV/atom
- DOS(E_F): 5.88 states/eV/cell

abc: 5.906 5.906 5.906
angles: 90.00 90.00 90.00
Fractional coordinates of all 5 atoms:
Si  0.000  0.000  0.500
Si  0.000  0.500  0.000
Si  0.500  0.000  0.000
Rb  0.500  0.500  0.500
Cs  0.000  0.000  0.000

---

Record 9
The following is a DFT calculation (PBE-GGA) of a geometry-optimized CoAgRu2 structure.

Output
- ΔE_f: 420 meV/atom
- DOS(E_F): 6.52 states/eV/cell

abc: 2.662 2.662 7.923
angles: 90.00 90.00 90.00
Each line ends with the local moment (μB).
Fractional coordinates of all 4 atoms:
Ag  0.500  0.500  0.250  -0.01
Ru  0.000  0.000  0.531  -0.02
Ru  0.000  0.000  0.969  -0.02
Co  0.500  0.500  0.750  0.82

---

Record 10
The following is a DFT calculation (PBE-GGA) of a geometry-optimized Mg3GaSb structure.

Output
- Energy above the lowest structure with this stoichiometry: 514.9 meV per atom
- Energy relative to the elements, uncorrected: 0.3752 eV/atom
- DOS(E_F): 4.16 states/eV/cell

abc: 5.406 5.406 5.406
angles: 90.00 90.00 90.00
Fractional coordinates of all 5 atoms:
Mg  0.000  0.500  0.000
Mg  0.500  0.000  0.000
Mg  0.000  0.000  0.500
Sb  0.000  0.000  0.000
Ga  0.500  0.500  0.500

---

Record 11
The following is a DFT calculation (PBE-GGA) of a geometry-optimized AgMo3H structure.

Output
- Energy above the lowest structure with this stoichiometry: 0.0 meV per atom
- DOS(E_F): 2.44 states/eV/cell

abc: 4.044 4.044 4.044
angles: 90.00 90.00 90.00
Fractional coordinates of all 5 atoms:
Mo  0.000  0.500  0.000
Mo  0.000  0.000  0.500
Mo  0.500  0.000  0.000
Ag  0.500  0.500  0.500
H  0.000  0.000  0.000

---

Record 12
The following is a DFT calculation (PBE-GGA) of a geometry-optimized PmFeNiSb structure.

Output
- Energy relative to the elements, uncorrected: -0.1499 eV/atom
- DOS(E_F): 4.03 states/eV/cell

abc: 4.668 4.668 4.668
angles: 60.00 60.00 60.00
Each line ends with the local moment (μB).
Fractional coordinates of all 4 atoms:
Fe  0.750  0.750  0.750  2.05
Ni  0.250  0.250  0.250  0.36
Sb  0.000  0.000  0.000  0.00
Pm  0.500  0.500  0.500  -0.10

---

Record 13
The following is a DFT calculation (PBE-GGA) of a geometry-optimized HfMg2Hg structure.

Output
- Energy above the lowest structure with this stoichiometry: 274.3 meV per atom
- ΔE_f: 237 meV/atom
- DOS(E_F): 2.61 states/eV/cell

abc: 3.107 3.107 11.074
angles: 81.94 81.94 60.00
Fractional coordinates of all 4 atoms:
Hf  0.000  0.000  0.000
Hg  0.500  0.500  0.500
Mg  0.092  0.092  0.725
Mg  0.908  0.908  0.275

---

Record 14
The following is a DFT calculation (PBE-GGA) of a geometry-optimized Ag8AuS6 structure.

Output
- Energy relative to the elements, uncorrected: 0.1257 eV/atom
- DOS(E_F): 7.03 states/eV/cell

abc: 7.407 7.407 7.918
angles: 62.11 62.11 60.00
Fractional coordinates of all 15 atoms:
Au  0.000  0.000  0.000
S  0.623  0.242  0.198
S  0.937  0.623  0.198
S  0.377  0.758  0.802
S  0.758  0.063  0.802
S  0.242  0.937  0.198
S  0.063  0.377  0.802
Ag  0.882  0.371  0.566
Ag  0.629  0.819  0.434
Ag  0.819  0.118  0.434
Ag  0.118  0.629  0.434
Ag  0.371  0.181  0.566
Ag  0.393  0.393  0.822
Ag  0.181  0.882  0.566
Ag  0.607  0.607  0.178

---

Record 15
The following is a DFT calculation (PBE-GGA) of a geometry-optimized ErIn2AgTe4 structure.

Output
- Energy relative to the elements, uncorrected: -0.5244 eV/atom
- DOS(E_F): 3.40 states/eV/cell

abc: 4.334 7.751 7.646
angles: 71.08 90.00 90.00
Fractional coordinates of all 8 atoms:
In  0.500  0.000  0.500
In  0.000  0.000  0.000
Te  0.500  0.264  0.742
Te  0.500  0.736  0.258
Te  0.000  0.259  0.250
Te  0.000  0.741  0.750
Ag  0.500  0.500  0.000
Er  0.000  0.500  0.500

---

Record 16
The following is a DFT calculation (PBE-GGA) of a geometry-optimized Nd2ZrSe4 structure.

Output
- Energy relative to the elements, uncorrected: -1.4697 eV/atom
- DOS(E_F): 9.53 states/eV/cell

abc: 7.260 6.856 8.073
angles: 90.00 105.60 90.00
Fractional coordinates of all 14 atoms:
Se  0.027  0.750  0.871
Se  0.965  0.250  0.606
Se  0.512  0.492  0.254
Se  0.488  0.992  0.746
Se  0.035  0.750  0.394
Se  0.973  0.250  0.129
Se  0.488  0.508  0.746
Se  0.512  0.008  0.254
Nd  0.716  0.750  0.553
Nd  0.716  0.750  0.057
Nd  0.284  0.250  0.447
Nd  0.284  0.250  0.943
Zr  0.234  0.750  0.181
Zr  0.766  0.250  0.819

---

Record 17
The following is a DFT calculation (PBE-GGA) of a geometry-optimized Ca2MgHPb structure.

Output
- DOS(E_F): 1.87 states/eV/cell
- Raw total energy: -2.903 eV per atom

abc: 4.888 4.727 4.888
angles: 90.00 90.00 90.00
Fractional coordinates of all 5 atoms:
Pb  0.500  0.500  0.500
Ca  0.500  0.000  0.000
Ca  0.000  0.000  0.500
H  0.000  0.000  0.000
Mg  0.000  0.500  0.000

---

Record 18
The following is a DFT calculation (PBE-GGA) of a geometry-optimized TlZn2CrAu structure.

Output
- Energy above the lowest structure with this stoichiometry: 0.0 meV per atom
- ΔE_f: 417 meV/atom
- DOS(E_F): 2.54 states/eV/cell

abc: 4.904 5.226 4.904
angles: 90.00 90.00 90.00
Each line ends with the local moment (μB).
Fractional coordinates of all 5 atoms:
Zn  0.000  0.000  0.500  -0.03
Zn  0.500  0.000  0.000  -0.01
Cr  0.000  0.500  0.000  3.98
Tl  0.500  0.500  0.500  0.02
Au  0.000  0.000  0.000  0.03

---

Record 19
The following is a DFT calculation (PBE-GGA) of a geometry-optimized Hf4BePt structure.

Output
- Energy above the lowest structure with this stoichiometry: 0.0 meV per atom
- ΔE_f: -422 meV/atom
- DOS(E_F): 5.62 states/eV/cell

abc: 5.346 5.346 5.346
angles: 103.04 103.04 123.27
Fractional coordinates of all 6 atoms:
Hf  0.408  0.592  0.500
Hf  0.592  0.092  0.184
Hf  0.092  0.908  0.500
Hf  0.908  0.408  0.816
Be  0.000  0.000  0.000
Pt  0.500  0.500  0.000

---

Record 20
The following is a DFT calculation (PBE-GGA) of a geometry-optimized PIrCl2 structure.

Output
- Energy above the lowest structure with this stoichiometry: 1453.8 meV per atom
- Energy relative to the elements, uncorrected: 0.7914 eV/atom
- DOS(E_F): 2.46 states/eV/cell

abc: 2.925 5.289 4.264
angles: 90.00 90.00 90.00
Fractional coordinates of all 4 atoms:
Ir  0.500  0.000  0.500
Cl  0.000  0.000  0.000
Cl  0.500  0.500  0.000
P  0.000  0.500  0.500

---

Record 21
The following is a DFT calculation (PBE-GGA) of a geometry-optimized LiMg3Cd6 structure.

Output
- Energy above the lowest structure with this stoichiometry: 59.0 meV per atom
- ΔE_f: -56 meV/atom
- DOS(E_F): 6.10 states/eV/cell

abc: 7.611 7.611 7.611
angles: 93.10 93.10 93.10
Fractional coordinates of all 20 atoms:
Cd  0.368  0.141  0.049
Cd  0.523  0.830  0.411
Cd  0.477  0.170  0.589
Cd  0.951  0.632  0.859
Cd  0.830  0.411  0.523
Cd  0.141  0.049  0.368
Cd  0.049  0.368  0.141
Cd  0.170  0.589  0.477
Cd  0.411  0.523  0.830
Cd  0.632  0.859  0.951
Cd  0.589  0.477  0.170
Cd  0.859  0.951  0.632
Mg  0.878  0.737  0.266
Mg  0.263  0.734  0.122
Mg  0.266  0.878  0.737
Mg  0.737  0.266  0.878
Mg  0.122  0.263  0.734
Mg  0.734  0.122  0.263
Li  0.500  0.500  0.500
Li  0.000  0.000  0.000

---

Record 22
The following is a DFT calculation (PBE-GGA) of a geometry-optimized PtRhSeBr2 structure.

Output
- Energy above the lowest structure with this stoichiometry: 0.0 meV per atom
- Energy relative to the elements, uncorrected: 0.7561 eV/atom
- DOS(E_F): 8.42 states/eV/cell

abc: 5.066 5.066 4.734
angles: 90.00 90.00 90.00
Each line ends with the local moment (μB).
Fractional coordinates of all 5 atoms:
Se  0.000  0.000  0.500  0.09
Rh  0.000  0.000  0.000  0.04
Br  0.500  0.000  0.000  0.06
Br  0.000  0.500  0.000  0.06
Pt  0.500  0.500  0.500  0.59

---

Record 23
The following is a DFT calculation (PBE-GGA) of a geometry-optimized HgP4Rh structure.

Output
- ΔE_f: 686 meV/atom
- DOS(E_F): 3.97 states/eV/cell

abc: 5.317 5.317 5.317
angles: 60.00 60.00 60.00
Fractional coordinates of all 6 atoms:
P  0.358  0.358  0.925
P  0.925  0.358  0.358
P  0.358  0.358  0.358
P  0.358  0.925  0.358
Rh  0.750  0.750  0.750
Hg  0.000  0.000  0.000

---

Record 24
The following is a DFT calculation (PBE-GGA) of a geometry-optimized Zr4As6Ru7 structure.

Output
- ΔE_f: -688 meV/atom
- DOS(E_F): 14.35 states/eV/cell

abc: 7.095 7.095 7.095
angles: 109.47 109.47 109.47
Fractional coordinates of all 17 atoms:
Zr  0.500  0.000  0.000
Zr  0.500  0.500  0.500
Zr  0.000  0.500  0.000
Zr  0.000  0.000  0.500
Ru  0.000  0.000  0.000
Ru  0.500  0.250  0.750
Ru  0.250  0.500  0.750
Ru  0.250  0.750  0.500
Ru  0.500  0.750  0.250
Ru  0.750  0.500  0.250
Ru  0.750  0.250  0.500
As  0.314  0.314  0.000
As  0.000  0.686  0.686
As  0.686  0.686  0.000
As  0.000  0.314  0.314
As  0.686  0.000  0.686
As  0.314  0.000  0.314

---

Record 25
The following is a DFT calculation (PBE-GGA) of a geometry-optimized UGa12Ni6 structure.

Output
- ΔE_f: -248 meV/atom
- DOS(E_F): 11.73 states/eV/cell

abc: 6.931 6.931 6.931
angles: 104.79 104.79 104.79
Each line ends with the local moment (μB).
Fractional coordinates of all 19 atoms:
Ga  0.885  0.500  0.115  -0.01
Ga  0.597  0.597  0.852  0.00
Ga  0.885  0.115  0.500  -0.01
Ga  0.403  0.403  0.148  0.00
Ga  0.115  0.885  0.500  -0.01
Ga  0.500  0.885  0.115  -0.01
Ga  0.148  0.403  0.403  0.00
Ga  0.852  0.597  0.597  0.00
Ga  0.597  0.852  0.597  0.00
Ga  0.403  0.148  0.403  0.00
Ga  0.500  0.115  0.885  -0.01
Ga  0.115  0.500  0.885  -0.01
Ni  0.717  0.294  0.717  0.01
Ni  0.294  0.717  0.717  0.01
Ni  0.283  0.283  0.706  0.01
Ni  0.706  0.283  0.283  0.01
Ni  0.717  0.717  0.294  0.01
Ni  0.283  0.706  0.283  0.01
U  0.000  0.000  0.000  2.61